A plane-wave DFT calculation with PBE was carried out for an optimized crystal structure of ZrRhSe2.

```
ZrRhSe2
1.0
-1.247 2.815 1.459
1.592 -1.367 3.999
3.889 2.146 -0.815
Se Rh Zr
2 1 1
Direct
0.000 0.000 0.000
0.000 0.500 0.500
0.500 0.000 0.500
0.500 0.500 0.000
```

Summary:
The value obtained for the calculated total energy is -6.40 eV per atom. As for the space group: No. 123. Its mass density is 8.4 Mg/m³. Its density of states at the Fermi level is 2.738 states/eV/cell. For the energy relative to the elements, uncorrected, the calculation gives -683 meV per atom. The calculated volume comes out at 69.5 Å³/f.u.